Density functional theory data (PBE with a Hubbard U) for a relaxed Na3LiCoTeO6 crystal.

extended XYZ file:
```
12
Lattice="2.6754 -4.6155 0.0000 2.6754 4.6155 0.0000 -1.8032 0.0000 5.2876" Properties=species:S:1:pos:R:3 pbc="T T T"
Na 0.0000 0.0000 0.0000
Na 2.6754 1.5974 0.0000
Na 2.6754 -1.6743 0.0000
Li 1.7738 -3.1112 2.6438
Co 1.7738 3.0622 2.6438
Te 1.7738 -0.0268 2.6438
O 0.9939 1.4030 1.5427
O 0.1427 -0.0610 3.7371
O 0.9368 -1.4282 1.5455
O 2.5537 1.4030 3.7449
O 3.4049 -0.0610 1.5505
O 2.6109 -1.4282 3.7422
```

The excess energy over the best structure of this formula in the dataset is 0 meV per atom. Its space group is C2 (5). The value obtained for the raw total energy is -5.17 eV per atom.